First-principles (PBE with a Hubbard U) data for a relaxed structure of CrSb2TeO, as listed in Alexandria via LeMat-Bulk.

CIF file:
```
data_CrSb2TeO
_chemical_formula_sum 'Cr1 Sb2 Te1 O1'
_space_group_name_H-M_alt 'P 4/m m m'
_space_group_IT_number 123
_space_group_name_Hall '-P 4 2'
_cell_length_a 4.9510
_cell_length_b 4.9510
_cell_length_c 4.8742
_cell_angle_alpha 90.00
_cell_angle_beta 90.00
_cell_angle_gamma 90.00
loop_
_atom_site_label
_atom_site_fract_x
_atom_site_fract_y
_atom_site_fract_z
_atom_site_occupancy
Cr1 0.0000 0.0000 0.0000 1
Sb1 0.0000 0.5000 0.0000 1
Te1 0.0000 0.0000 0.5000 1
O1 0.5000 0.5000 0.5000 1
```

Polymorph energy (0 for the lowest one) = 0.487 eV per atom